Below is a relaxed structure of Pr4Y4Tm, with properties calculated at the PBE level.

Results
M_tot in μB/cell: 0.0
Polymorph energy (0 for the lowest one) in meV/atom: 0
Density of states at the Fermi level in states/eV/cell: 13.17
ΔH_f (0 K) in eV per atom: 0.0178
Space-group type: No. 12
Energy in Ry per atom: -0.4025

a b c (Å): 6.2535 6.2535 10.8839
angles (deg): 106.43 106.43 48.63
Fractional positions:
Pr: 0.0000 0.0000 0.1683
Pr: 0.0000 0.0000 0.8317
Pr: 0.3330 0.3330 0.6103
Pr: 0.6670 0.6670 0.3897
Y: 0.3329 0.3329 0.2771
Y: 0.3342 0.3342 0.9457
Y: 0.6658 0.6658 0.0543
Y: 0.6671 0.6671 0.7229
Tm: 0.0000 0.0000 0.5000